TaB2RuF | PBE | optimized geometry

Cell and atoms, written as POSCAR:
```
TaB2RuF
1.0
-3.823 -0.960 0.132
1.203 -4.752 0.280
0.073 0.251 3.936
Ru B F Ta
1 2 1 1
direct
0.000 0.000 0.000
0.000 0.000 0.500
0.500 0.000 0.000
0.500 0.500 0.500
0.000 0.500 0.000
```

## Properties
- E_form (uncorrected) (eV/atom) = 0.5837
- space-group type = No. 123
- magnetic moment (μB/f.u.) = 0.0